{
  "formula": "TeSe3N",
  "functional": "PBE",
  "state": "relaxed",
  "formation_energy_uncorrected_mev_per_atom": 1545,
  "de_polymorph_mev_per_atom": 645,
  "total_magnetization_mub_per_fu": 2.6,
  "e_tot_ev_per_atom": -2.84,
  "sg": "No. 221",
  "cell": [[5.389, 0.000, 0.000], [0.000, 5.389, 0.000], [0.000, 0.000, 5.389]],
  "species": ["Te", "Se", "Se", "Se", "N"],
  "fractional_positions": [[0.000, 0.000, 0.000], [0.000, 0.500, 0.000], [0.000, 0.000, 0.500], [0.500, 0.000, 0.000], [0.500, 0.500, 0.500]]
}

---

{
  "formula": "HfSc2Hg2",
  "functional": "PBE",
  "state": "relaxed",
  "de_polymorph_mev_per_atom": 0,
  "total_magnetization_mub_per_fu": 0.3,
  "formation_enthalpy_0k_ev_per_atom": -0.181,
  "e_tot_ev_per_atom": -4.82,
  "sg": "No. 127",
  "cell": [[7.959, 0.000, 0.000], [0.000, 7.959, 0.000], [0.000, 0.000, 3.532]],
  "species": ["Sc", "Sc", "Sc", "Sc", "Hf", "Hf", "Hg", "Hg", "Hg", "Hg"],
  "fractional_positions": [[0.170, 0.670, 0.500], [0.670, 0.830, 0.500], [0.830, 0.330, 0.500], [0.330, 0.170, 0.500], [0.000, 0.000, 0.000], [0.500, 0.500, 0.000], [0.368, 0.868, 0.000], [0.868, 0.632, 0.000], [0.632, 0.132, 0.000], [0.132, 0.368, 0.000]]
}

---

{
  "formula": "SnBr2Cl8",
  "functional": "PBE",
  "state": "relaxed",
  "formation_energy_uncorrected_mev_per_atom": -333,
  "total_magnetization_mub_per_fu": 0.0,
  "e_tot_ev_per_atom": -2.34,
  "sg": "No. 2",
  "cell": [[5.660, 2.730, -2.767], [2.564, 7.928, -4.118], [-0.887, -1.955, 10.910]],
  "species": ["Sn", "Br", "Br", "Cl", "Cl", "Cl", "Cl", "Cl", "Cl", "Cl", "Cl"],
  "fractional_positions": [[0.500, 0.000, 0.000], [0.211, 0.610, 0.393], [0.789, 0.390, 0.607], [0.612, 0.928, 0.216], [0.497, 0.643, 0.814], [0.075, 0.159, 0.431], [0.989, 0.246, 0.008], [0.925, 0.841, 0.569], [0.503, 0.357, 0.186], [0.388, 0.072, 0.784], [0.011, 0.754, 0.992]]
}

---

Number 1: volume 31.31 Å³/atom. Number 2: volume 22.37 Å³/atom. Number 3: volume 33.82 Å³/atom.